[1]
Sm12Co5Te | PBE-GGA | relaxed

Properties
Crystal system: orthorhombic
Calculated total energy: -5.5306 eV/atom
Uncorrected formation energy: -0.236 eV/atom

Structure (CIF):
```
data_Sm12Co5Te
_chemical_formula_sum 'Sm24 Co10 Te2'
_cell_length_a 9.647
_cell_length_b 9.741
_cell_length_c 10.065
_cell_angle_alpha 90.00
_cell_angle_beta 90.00
_cell_angle_gamma 90.00
_space_group_name_H-M_alt 'I m m m'
_space_group_IT_number 71
_space_group_name_Hall '-I 2 2'
loop_
_atom_site_label
_atom_site_type_symbol
_atom_site_fract_x
_atom_site_fract_y
_atom_site_fract_z
_atom_site_occupancy
Sm1 Sm 0.000 0.192 0.199 1
Sm2 Sm 0.190 0.500 0.189 1
Sm3 Sm 0.206 0.316 0.500 1
Co1 Co 0.000 0.000 0.000 1
Co2 Co 0.000 0.380 0.000 1
Co3 Co 0.000 0.500 0.389 1
Te1 Te 0.000 0.000 0.500 1
```

***

[2]
Sm5CoTe4 | PBE-GGA | relaxed

Properties
Crystal system: tetragonal
Calculated total energy: -5.4383 eV/atom
Uncorrected formation energy: -1.112 eV/atom

Structure (CIF):
```
data_Sm5CoTe4
_chemical_formula_sum 'Sm10 Co2 Te8'
_cell_length_a 9.787
_cell_length_b 9.787
_cell_length_c 6.252
_cell_angle_alpha 90.00
_cell_angle_beta 90.00
_cell_angle_gamma 90.00
_space_group_name_H-M_alt 'I 4/m'
_space_group_IT_number 87
_space_group_name_Hall '-I 4'
loop_
_atom_site_label
_atom_site_type_symbol
_atom_site_fract_x
_atom_site_fract_y
_atom_site_fract_z
_atom_site_occupancy
Sm1 Sm 0.000 0.000 0.000 1
Sm2 Sm 0.092 0.743 0.500 1
Co1 Co 0.000 0.000 0.500 1
Te1 Te 0.087 0.690 0.000 1
```

***

[3]
Sm3ThCo2 | PBE-GGA | relaxed

Properties
Crystal system: monoclinic
Calculated total energy: -6.0924 eV/atom

Structure (CIF):
```
data_Sm3ThCo2
_chemical_formula_sum 'Sm12 Th4 Co8'
_cell_length_a 16.876
_cell_length_b 3.796
_cell_length_c 11.771
_cell_angle_alpha 90.00
_cell_angle_beta 124.82
_cell_angle_gamma 90.00
_space_group_name_H-M_alt 'C 1 2/m 1'
_space_group_IT_number 12
_space_group_name_Hall '-C 2y'
loop_
_atom_site_label
_atom_site_type_symbol
_atom_site_fract_x
_atom_site_fract_y
_atom_site_fract_z
_atom_site_occupancy
Sm1 Sm 0.082 0.000 0.443 1
Sm2 Sm 0.082 0.000 0.944 1
Sm3 Sm 0.157 0.500 0.754 1
Th1 Th 0.163 0.500 0.261 1
Co1 Co 0.233 0.500 0.053 1
Co2 Co 0.237 0.500 0.565 1
```

***

[4]
Sm2ThCo2 | PBE-GGA | relaxed

Properties
Crystal system: monoclinic
Calculated total energy: -6.4261 eV/atom

Structure (CIF):
```
data_Sm2ThCo2
_chemical_formula_sum 'Sm8 Th4 Co8'
_cell_length_a 10.668
_cell_length_b 6.227
_cell_length_c 7.185
_cell_angle_alpha 90.00
_cell_angle_beta 100.84
_cell_angle_gamma 90.00
_space_group_name_H-M_alt 'C 1 2/c 1'
_space_group_IT_number 15
_space_group_name_Hall '-C 2yc'
loop_
_atom_site_label
_atom_site_type_symbol
_atom_site_fract_x
_atom_site_fract_y
_atom_site_fract_z
_atom_site_occupancy
Sm1 Sm 0.155 0.102 0.150 1
Th1 Th 0.000 0.422 0.750 1
Co1 Co 0.155 0.343 0.510 1
```

***

[5]
SmThCo2 | PBE-GGA | relaxed

Properties
Crystal system: tetragonal
Calculated total energy: -6.6939 eV/atom
Offset from the most stable computed form: 0.43 eV/f.u.

Structure (CIF):
```
data_SmThCo2
_chemical_formula_sum 'Sm1 Th1 Co2'
_cell_length_a 3.444
_cell_length_b 3.444
_cell_length_c 6.877
_cell_angle_alpha 90.00
_cell_angle_beta 90.00
_cell_angle_gamma 90.00
_space_group_name_H-M_alt 'P 4/m m m'
_space_group_IT_number 123
_space_group_name_Hall '-P 4 2'
loop_
_atom_site_label
_atom_site_type_symbol
_atom_site_fract_x
_atom_site_fract_y
_atom_site_fract_z
_atom_site_occupancy
Sm1 Sm 0.000 0.000 0.000 1
Th1 Th 0.000 0.000 0.500 1
Co1 Co 0.500 0.500 0.282 1
```

***

[6]
SmThCo | PBE-GGA | relaxed

Properties
Crystal system: cubic
Calculated total energy: -6.3621 eV/atom
Offset from the most stable computed form: 0.55 eV/f.u.

Structure (CIF):
```
data_SmThCo
_chemical_formula_sum 'Sm4 Th4 Co4'
_cell_length_a 6.800
_cell_length_b 6.800
_cell_length_c 6.800
_cell_angle_alpha 90.00
_cell_angle_beta 90.00
_cell_angle_gamma 90.00
_space_group_name_H-M_alt 'F -4 3 m'
_space_group_IT_number 216
_space_group_name_Hall 'F -4 2 3'
loop_
_atom_site_label
_atom_site_type_symbol
_atom_site_fract_x
_atom_site_fract_y
_atom_site_fract_z
_atom_site_occupancy
Sm1 Sm 0.000 0.000 0.000 1
Th1 Th 0.000 0.000 0.500 1
Co1 Co 0.250 0.250 0.250 1
```

***

[7]
SmTh2Co | PBE-GGA | relaxed

Properties
Crystal system: trigonal
Calculated total energy: -6.7511 eV/atom
Offset from the most stable computed form: 0.35 eV/f.u.

Structure (CIF):
```
data_SmTh2Co
_chemical_formula_sum 'Sm3 Th6 Co3'
_cell_length_a 3.8424
_cell_length_b 3.8424
_cell_length_c 27.0554
_cell_angle_alpha 90.00
_cell_angle_beta 90.00
_cell_angle_gamma 120.00
_space_group_name_H-M_alt 'R 3 m'
_space_group_IT_number 160
_space_group_name_Hall 'R 3 -2"'
loop_
_atom_site_label
_atom_site_type_symbol
_atom_site_fract_x
_atom_site_fract_y
_atom_site_fract_z
_atom_site_occupancy
Sm1 Sm 0.0000 0.0000 0.0000 1
Th1 Th 0.0000 0.0000 0.5602 1
Th2 Th 0.0000 0.0000 0.7759 1
Co1 Co 0.0000 0.0000 0.1671 1
```

***

[8]
SmThCo2 | PBE-GGA | relaxed

Properties
Crystal system: orthorhombic
Calculated total energy: -6.8002 eV/atom
Offset from the most stable computed form: 0.00 eV/f.u.

Structure (CIF):
```
data_SmThCo2
_chemical_formula_sum 'Sm2 Th2 Co4'
_cell_length_a 3.936
_cell_length_b 3.794
_cell_length_c 11.029
_cell_angle_alpha 90.00
_cell_angle_beta 90.00
_cell_angle_gamma 90.00
_space_group_name_H-M_alt 'A m m 2'
_space_group_IT_number 38
_space_group_name_Hall 'A 2 -2'
loop_
_atom_site_label
_atom_site_type_symbol
_atom_site_fract_x
_atom_site_fract_y
_atom_site_fract_z
_atom_site_occupancy
Sm1 Sm 0.000 0.000 0.000 1
Th1 Th 0.500 0.000 0.272 1
Co1 Co 0.000 0.000 0.723 1
Co2 Co 0.500 0.000 0.569 1
```

***

[9]
SmThCo | PBE-GGA | relaxed

Properties
Crystal system: monoclinic
Calculated total energy: -6.5448 eV/atom
Offset from the most stable computed form: 0.00 eV/f.u.

Structure (CIF):
```
data_SmThCo
_chemical_formula_sum 'Sm4 Th4 Co4'
_cell_length_a 6.678
_cell_length_b 6.726
_cell_length_c 9.156
_cell_angle_alpha 90.00
_cell_angle_beta 127.39
_cell_angle_gamma 90.00
_space_group_name_H-M_alt 'P 1 21/c 1'
_space_group_IT_number 14
_space_group_name_Hall '-P 2ybc'
loop_
_atom_site_label
_atom_site_type_symbol
_atom_site_fract_x
_atom_site_fract_y
_atom_site_fract_z
_atom_site_occupancy
Sm1 Sm 0.177 0.066 0.409 1
Th1 Th 0.346 0.572 0.594 1
Co1 Co 0.331 0.719 0.321 1
```

***

[10]
SmTh3Co8 | PBE-GGA | relaxed

Properties
Crystal system: trigonal
Calculated total energy: -7.1574 eV/atom

Structure (CIF):
```
data_SmTh3Co8
_chemical_formula_sum 'Sm3 Th9 Co24'
_cell_length_a 5.1069
_cell_length_b 5.1069
_cell_length_c 25.0168
_cell_angle_alpha 90.00
_cell_angle_beta 90.00
_cell_angle_gamma 120.00
_space_group_name_H-M_alt 'R 3 m'
_space_group_IT_number 160
_space_group_name_Hall 'R 3 -2"'
loop_
_atom_site_label
_atom_site_type_symbol
_atom_site_fract_x
_atom_site_fract_y
_atom_site_fract_z
_atom_site_occupancy
Sm1 Sm 0.0000 0.0000 0.0000 1
Th1 Th 0.0000 0.0000 0.1238 1
Th2 Th 0.0000 0.0000 0.5029 1
Th3 Th 0.0000 0.0000 0.6293 1
Co1 Co 0.0000 0.0000 0.3140 1
Co2 Co 0.0000 0.0000 0.8137 1
Co3 Co 0.0029 0.5015 0.0642 1
Co4 Co 0.1679 0.3358 0.8968 1
```

***

[11]
SmTh2Co | PBE-GGA | relaxed

Properties
Crystal system: trigonal
Calculated total energy: -6.5622 eV/atom
Offset from the most stable computed form: 1.10 eV/f.u.

Structure (CIF):
```
data_SmTh2Co
_chemical_formula_sum 'Sm3 Th6 Co3'
_cell_length_a 3.7523
_cell_length_b 3.7523
_cell_length_c 30.2447
_cell_angle_alpha 90.00
_cell_angle_beta 90.00
_cell_angle_gamma 120.00
_space_group_name_H-M_alt 'R -3 m'
_space_group_IT_number 166
_space_group_name_Hall '-R 3 2"'
loop_
_atom_site_label
_atom_site_type_symbol
_atom_site_fract_x
_atom_site_fract_y
_atom_site_fract_z
_atom_site_occupancy
Sm1 Sm 0.0000 0.0000 0.0000 1
Th1 Th 0.0000 0.0000 0.1136 1
Co1 Co 0.0000 0.0000 0.5000 1
```

***

[12]
SmThCo4 | PBE-GGA | relaxed

Properties
Crystal system: cubic
Calculated total energy: -6.9009 eV/atom
Offset from the most stable computed form: 0.16 eV/f.u.

Structure (CIF):
```
data_SmThCo4
_chemical_formula_sum 'Sm4 Th4 Co16'
_cell_length_a 7.209
_cell_length_b 7.209
_cell_length_c 7.209
_cell_angle_alpha 90.00
_cell_angle_beta 90.00
_cell_angle_gamma 90.00
_space_group_name_H-M_alt 'F -4 3 m'
_space_group_IT_number 216
_space_group_name_Hall 'F -4 2 3'
loop_
_atom_site_label
_atom_site_type_symbol
_atom_site_fract_x
_atom_site_fract_y
_atom_site_fract_z
_atom_site_occupancy
Sm1 Sm 0.000 0.000 0.000 1
Th1 Th 0.250 0.250 0.750 1
Co1 Co 0.125 0.125 0.375 1
```